Record 1
Below is a relaxed Mn2InMo crystal, with properties calculated at the PBE level.

Calculated values
Symmetry: P4/mmm
Formation energy from the elements: 0.33 eV/atom

Structure (extended XYZ):
```
4
Lattice="4.252 0.000 0.000 0.000 4.252 0.000 0.000 0.000 3.192" Properties=species:S:1:pos:R:3 pbc="T T T"
Mn 0.000 2.126 0.000
Mn 2.126 0.000 0.000
In 0.000 0.000 1.596
Mo 2.126 2.126 1.596
```

***

Record 2
Below is a relaxed Os3RuPb crystal, with properties calculated at the PBE level.

Calculated values
Symmetry: Pm-3m
Energy relative to the lowest polymorph listed for this composition: 0.000 eV/atom
Formation energy from the elements: 2.06 eV/atom

Structure (extended XYZ):
```
5
Lattice="4.725 0.000 0.000 0.000 4.725 0.000 0.000 0.000 4.725" Properties=species:S:1:pos:R:3 pbc="T T T"
Os 0.000 0.000 2.362
Os 0.000 2.362 0.000
Os 2.362 0.000 0.000
Ru 0.000 0.000 0.000
Pb 2.362 2.362 2.362
```

***

Record 3
Below is a relaxed HfPaPb2 crystal, with properties calculated at the PBE level.

Calculated values
Symmetry: R-3m
Energy relative to the lowest polymorph listed for this composition: 0.132 eV/atom
Formation energy from the elements: 0.26 eV/atom

Structure (extended XYZ):
```
4
Lattice="1.626 0.939 11.789 -1.626 0.939 11.789 0.000 -1.878 11.789" Properties=species:S:1:pos:R:3 pbc="T T T"
Hf 0.000 0.000 0.000
Pa 0.000 0.000 17.684
Pb 0.000 0.000 14.417
Pb 0.000 0.000 20.951
```

***

Record 4
Below is a relaxed HOsBr2 crystal, with properties calculated at the PBE level.

Calculated values
Symmetry: R-3m
Energy relative to the lowest polymorph listed for this composition: 0.008 eV/atom

Structure (extended XYZ):
```
4
Lattice="1.570 0.907 7.564 -1.570 0.907 7.564 0.000 -1.813 7.564" Properties=species:S:1:pos:R:3 pbc="T T T"
H 0.000 0.000 0.000
Os 0.000 0.000 11.346
Br 0.000 0.000 8.990
Br 0.000 0.000 13.702
```

***

Record 5
Below is a relaxed Ta2W crystal, with properties calculated at the PBE level.

Calculated values
Symmetry: P-3m1
Energy relative to the lowest polymorph listed for this composition: 0.370 eV/atom
Formation energy from the elements: 0.29 eV/atom

Structure (extended XYZ):
```
3
Lattice="3.093 0.000 0.000 -1.547 2.679 0.000 0.000 0.000 6.512" Properties=species:S:1:pos:R:3 pbc="T T T"
Ta 0.000 1.786 1.155
Ta 1.547 0.893 5.357
W 0.000 0.000 3.256
```

***

Record 6
Below is a relaxed Pu3NbO7 crystal, with properties calculated at the PBE level.

Calculated values
Symmetry: Cmcm
Energy relative to the elements, uncorrected: -282.4 kJ per mole of atoms

Structure (extended XYZ):
```
22
Lattice="3.768 -5.367 0.000 3.768 5.367 0.000 0.000 0.000 7.681" Properties=species:S:1:pos:R:3 pbc="T T T"
Pu 0.000 0.000 0.000
Pu 0.000 0.000 3.840
Pu 1.991 2.531 5.761
Pu 1.991 -2.531 1.920
Pu 5.545 2.531 5.761
Pu 5.545 -2.531 1.920
Nb 3.768 0.000 0.000
Nb 3.768 0.000 3.840
O 3.768 3.970 1.920
O 3.768 3.914 5.761
O 2.232 1.337 0.219
O 2.232 1.337 3.621
O 2.232 -1.337 4.060
O 2.232 -1.337 7.462
O 3.768 0.702 5.761
O 3.768 -0.702 1.920
O 5.304 1.337 0.219
O 5.304 1.337 3.621
O 5.304 -1.337 4.060
O 5.304 -1.337 7.462
O 3.768 -3.914 1.920
O 3.768 -3.970 5.761
```

***

Record 7
Below is a relaxed Ba2CaTl crystal, with properties calculated at the PBE level.

Calculated values
Symmetry: R-3m
Energy relative to the lowest polymorph listed for this composition: 0.124 eV/atom
Formation energy from the elements: -0.09 eV/atom

Structure (extended XYZ):
```
4
Lattice="2.122 1.225 12.325 -2.122 1.225 12.325 0.000 -2.451 12.325" Properties=species:S:1:pos:R:3 pbc="T T T"
Ba 0.000 0.000 8.822
Ba 0.000 0.000 28.154
Ca 0.000 0.000 0.000
Tl 0.000 0.000 18.488
```

***

Record 8
Below is a relaxed VCuNiRu crystal, with properties calculated at the PBE level.

Calculated values
Symmetry: F-43m
Formation energy from the elements: -0.06 eV/atom

Structure (extended XYZ):
```
4
Lattice="0.000 2.929 2.929 2.929 0.000 2.929 2.929 2.929 0.000" Properties=species:S:1:pos:R:3 pbc="T T T"
V 0.000 0.000 0.000
Cu 2.929 2.929 2.929
Ni 4.393 4.393 4.393
Ru 1.464 1.464 1.464
```

***

Record 9
Below is a relaxed Dy12Tl5Co2 crystal, with properties calculated at the PBE level.

Calculated values
Symmetry: C2/m
Formation energy from the elements: -0.08 eV/atom

Structure (extended XYZ):
```
19
Lattice="8.374 -3.803 0.000 8.374 3.803 0.000 -2.753 0.000 9.330" Properties=species:S:1:pos:R:3 pbc="T T T"
Dy 16.115 0.000 2.116
Dy -2.121 0.000 7.214
Dy 3.215 2.016 8.557
Dy 4.656 1.880 3.963
Dy 10.780 2.016 0.773
Dy 9.338 1.880 5.367
Dy 7.824 0.000 1.621
Dy 6.171 0.000 7.710
Dy 4.656 -1.880 3.963
Dy 3.215 -2.016 8.557
Dy 9.338 -1.880 5.367
Dy 10.780 -2.016 0.773
Tl 2.268 0.000 3.358
Tl 0.954 0.000 7.824
Tl 6.997 0.000 4.665
Tl 13.041 0.000 1.507
Tl 11.726 0.000 5.973
Co 8.374 2.207 0.000
Co 8.374 -2.207 0.000
```

***

Record 10
Below is a relaxed Li5OsN3 crystal, with properties calculated at the PBE level.

Calculated values
Symmetry: C2/c
Energy relative to the elements, uncorrected: -22.0 kJ per mole of atoms

Structure (extended XYZ):
```
18
Lattice="5.405 -2.580 0.000 5.405 2.580 0.000 -2.260 0.000 6.741" Properties=species:S:1:pos:R:3 pbc="T T T"
Li 1.723 0.701 0.521
Li 3.710 1.837 5.056
Li 2.460 0.576 2.700
Li 0.593 -0.701 3.892
Li 1.330 -0.576 6.071
Li 7.219 0.576 0.670
Li 7.956 0.701 2.849
Li 6.089 -0.576 4.041
Li 4.840 -1.837 1.685
Li 6.826 -0.701 6.220
Os 4.840 0.782 1.685
Os 3.710 -0.782 5.056
N -0.092 0.638 5.311
N 1.038 -0.638 1.941
N 5.405 0.000 0.000
N 4.275 0.000 3.371
N 7.511 0.638 4.800
N 8.641 -0.638 1.430
```

***

Record 11
Below is a relaxed BeTeI2O crystal, with properties calculated at the PBE level.

Calculated values
Symmetry: P4/mmm
Energy relative to the lowest polymorph listed for this composition: 0.979 eV/atom
Energy relative to the elements, uncorrected: 39.5 kJ per mole of atoms

Structure (extended XYZ):
```
5
Lattice="6.124 0.000 0.000 0.000 6.124 0.000 0.000 0.000 4.061" Properties=species:S:1:pos:R:3 pbc="T T T"
Be 0.000 0.000 0.000
Te 3.062 3.062 2.030
I 0.000 3.062 2.030
I 3.062 0.000 2.030
O 3.062 3.062 0.000
```

***

Record 12
Below is a relaxed Na2HgAsCl6 crystal, with properties calculated at the PBE level.

Calculated values
Symmetry: Fm-3m
Energy relative to the lowest polymorph listed for this composition: 0.114 eV/atom
Energy relative to the elements, uncorrected: -85.2 kJ per mole of atoms

Structure (extended XYZ):
```
10
Lattice="0.000 5.292 5.292 5.292 0.000 5.292 5.292 5.292 0.000" Properties=species:S:1:pos:R:3 pbc="T T T"
Na 2.646 2.646 2.646
Na 7.938 7.938 7.938
Hg 0.000 0.000 0.000
As 5.292 5.292 5.292
Cl 5.292 5.292 2.789
Cl 5.292 2.789 5.292
Cl 7.795 5.292 5.292
Cl 2.789 5.292 5.292
Cl 5.292 7.795 5.292
Cl 5.292 5.292 7.795
```

***

Record 13
Below is a relaxed SrCaHo2S4 crystal, with properties calculated at the PBE level.

Calculated values
Symmetry: P2/m
Energy relative to the elements, uncorrected: -195.8 kJ per mole of atoms

Structure (extended XYZ):
```
8
Lattice="6.886 0.000 0.000 0.000 3.978 0.000 -2.298 0.000 6.647" Properties=species:S:1:pos:R:3 pbc="T T T"
Sr 0.000 0.000 0.000
Ca 3.443 1.989 0.000
Ho -1.149 1.989 3.323
Ho 2.294 0.000 3.323
S 0.039 0.000 4.900
S 1.185 1.989 1.778
S 3.404 1.989 4.869
S 4.550 0.000 1.746
```

***

Record 14
Below is a relaxed Mg7Cd12Hg crystal, with properties calculated at the PBE level.

Calculated values
Symmetry: R-3
Energy relative to the lowest polymorph listed for this composition: 0.000 eV/atom
Formation energy from the elements: -0.05 eV/atom

Structure (extended XYZ):
```
20
Lattice="6.539 3.775 3.048 -6.539 3.775 3.048 0.000 -7.550 3.048" Properties=species:S:1:pos:R:3 pbc="T T T"
Mg 0.000 0.000 0.000
Mg -2.780 -0.653 3.826
Mg -0.824 -2.735 5.318
Mg 1.956 -2.081 3.826
Mg -1.956 2.081 5.318
Mg 0.824 2.735 3.826
Mg 2.780 0.653 5.318
Cd -0.708 -2.425 2.275
Cd -4.570 1.676 3.809
Cd -3.736 -3.120 5.335
Cd -1.746 1.826 2.275
Cd 0.834 -4.796 3.809
Cd 2.454 0.600 2.275
Cd -2.454 -0.600 6.868
Cd -0.834 4.796 5.335
Cd 1.746 -1.826 6.868
Cd 3.736 3.120 3.809
Cd 4.570 -1.676 5.335
Cd 0.708 2.425 6.868
Hg 0.000 0.000 4.572
```

***

Record 15
Below is a relaxed RbPPdPt crystal, with properties calculated at the PBE level.

Calculated values
Symmetry: Cm
Formation energy from the elements: -0.33 eV/atom

Structure (extended XYZ):
```
4
Lattice="3.663 -2.114 0.000 3.663 2.114 0.000 -2.424 0.000 6.232" Properties=species:S:1:pos:R:3 pbc="T T T"
Rb 0.000 0.000 0.000
P 2.459 0.000 3.256
Pd 4.901 0.000 2.611
Pt 0.018 0.000 3.626
```

***

Record 16
Below is a relaxed NbP2Au crystal, with properties calculated at the PBE level.

Calculated values
Symmetry: Fm-3m
Energy relative to the lowest polymorph listed for this composition: 0.176 eV/atom
Formation energy from the elements: 0.15 eV/atom

Structure (extended XYZ):
```
4
Lattice="0.000 3.174 3.174 3.174 0.000 3.174 3.174 3.174 0.000" Properties=species:S:1:pos:R:3 pbc="T T T"
Nb 0.000 0.000 0.000
P 1.587 1.587 1.587
P 4.761 4.761 4.761
Au 3.174 3.174 3.174
```

***

Record 17
Below is a relaxed Ac2In2Ge3 crystal, with properties calculated at the PBE level.

Calculated values
Symmetry: C2/m
Energy relative to the lowest polymorph listed for this composition: 0.099 eV/atom
Formation energy from the elements: -0.38 eV/atom

Structure (extended XYZ):
```
7
Lattice="6.579 -2.338 0.000 6.579 2.338 0.000 -3.051 0.000 6.598" Properties=species:S:1:pos:R:3 pbc="T T T"
Ac 0.233 0.000 2.186
Ac 9.873 0.000 4.412
In 3.997 0.000 1.522
In 6.109 0.000 5.076
Ge 1.127 0.000 5.254
Ge 6.579 0.000 0.000
Ge 8.979 0.000 1.345
```

***

Record 18
Below is a relaxed Nb2AgSnH crystal, with properties calculated at the PBE level.

Calculated values
Total energy: -0.2233 Ha/atom
Symmetry: P4/mmm

Structure (extended XYZ):
```
5
Lattice="4.121 0.000 0.000 0.000 4.121 0.000 0.000 0.000 4.568" Properties=species:S:1:pos:R:3 pbc="T T T"
Nb 0.000 2.060 0.000
Nb 2.060 0.000 0.000
Ag 0.000 0.000 2.284
Sn 2.060 2.060 2.284
H 0.000 0.000 0.000
```

***

Record 19
Below is a relaxed Dy2NiGe4Pt3 crystal, with properties calculated at the PBE level.

Calculated values
Symmetry: P-4m2
Formation energy from the elements: -0.83 eV/atom

Structure (extended XYZ):
```
10
Lattice="4.209 0.000 0.000 0.000 4.209 0.000 0.000 0.000 10.336" Properties=species:S:1:pos:R:3 pbc="T T T"
Dy 0.000 2.105 2.469
Dy 2.105 0.000 7.867
Ni 2.105 2.105 0.000
Ge 0.000 0.000 5.168
Ge 0.000 2.105 9.030
Ge 2.105 0.000 1.306
Ge 2.105 2.105 5.168
Pt 0.000 0.000 0.000
Pt 0.000 2.105 6.586
Pt 2.105 0.000 3.750
```

***

Record 20
Below is a relaxed CrCuNi crystal, with properties calculated at the PBE level.

Calculated values
Symmetry: I4mm
Energy relative to the lowest polymorph listed for this composition: 0.000 eV/atom
Formation energy from the elements: 0.12 eV/atom

Structure (extended XYZ):
```
3
Lattice="-1.247 1.247 5.498 1.247 -1.247 5.498 1.247 1.247 -5.498" Properties=species:S:1:pos:R:3 pbc="T T T"
Cr 0.000 0.000 0.000
Cu 0.000 0.000 3.577
Ni 0.000 0.000 7.221
```